Record 1
# CoNiMo2

A relaxed CoNiMo2 crystal (PBE-GGA, Alexandria).

Values from the calculation:
Offset from the most stable computed form in meV/atom: 226

Unit cell a=4.238 b=4.238 c=4.238 alpha=60.00 beta=60.00 gamma=60.00
Sites, in units of the cell vectors:
Co 0.000 0.000 0.000
Ni 0.750 0.750 0.750
Mo 0.250 0.250 0.250
Mo 0.500 0.500 0.500


Record 2
# CoNiMo

A relaxed CoNiMo crystal (PBE-GGA, Alexandria).

Values from the calculation:
Offset from the most stable computed form in meV/atom: 76

Unit cell a=4.098 b=4.098 c=2.567 alpha=90.00 beta=90.00 gamma=120.00
Sites, in units of the cell vectors:
Co 0.000 0.000 0.000
Ni 0.333 0.667 0.000
Mo 0.667 0.333 0.500


Record 3
# Co2Ni5Mo

A relaxed Co2Ni5Mo crystal (PBE-GGA, Alexandria).

Unit cell a=7.131 b=7.131 c=6.555 alpha=106.16 beta=106.16 gamma=35.53
Sites, in units of the cell vectors:
Co 0.063 0.689 0.873
Co 0.311 0.937 0.627
Co 0.689 0.063 0.373
Co 0.937 0.311 0.127
Ni 0.108 0.530 0.187
Ni 0.157 0.843 0.250
Ni 0.275 0.607 0.564
Ni 0.393 0.725 0.936
Ni 0.470 0.892 0.313
Ni 0.530 0.108 0.687
Ni 0.607 0.275 0.064
Ni 0.725 0.393 0.436
Ni 0.843 0.157 0.750
Ni 0.892 0.470 0.813
Mo 0.000 0.500 0.500
Mo 0.500 0.000 0.000


Record 4
# CoNiMo

A relaxed CoNiMo crystal (PBE-GGA, Alexandria).

Values from the calculation:
Offset from the most stable computed form in meV/atom: 682

Unit cell a=3.971 b=3.971 c=3.971 alpha=60.00 beta=60.00 gamma=60.00
Sites, in units of the cell vectors:
Co 0.000 0.000 0.000
Ni 0.500 0.500 0.500
Mo 0.750 0.750 0.750


Record 5
# CoNiMo2

A relaxed CoNiMo2 crystal (PBE-GGA, Alexandria).

Values from the calculation:
Offset from the most stable computed form in meV/atom: 515

Unit cell a=5.360 b=5.360 c=5.360 alpha=103.10 beta=103.10 gamma=123.14
Sites, in units of the cell vectors:
Co 0.000 0.000 0.000
Co 0.750 0.250 0.500
Ni 0.250 0.750 0.500
Ni 0.500 0.500 0.000
Mo 0.107 0.625 0.982
Mo 0.375 0.357 0.482
Mo 0.643 0.125 0.018
Mo 0.875 0.893 0.518


Record 6
# Co3NiMo

A relaxed Co3NiMo crystal (PBE-GGA, Alexandria).

Values from the calculation:
Offset from the most stable computed form in meV/atom: 932

Unit cell a=4.195 b=4.195 c=4.195 alpha=90.00 beta=90.00 gamma=90.00
Sites, in units of the cell vectors:
Co 0.000 0.000 0.500
Co 0.000 0.500 0.000
Co 0.500 0.000 0.000
Ni 0.000 0.000 0.000
Mo 0.500 0.500 0.500


Record 7
# CoNiMo2

A relaxed CoNiMo2 crystal (PBE-GGA, Alexandria).

Values from the calculation:
Offset from the most stable computed form in meV/atom: 252

Unit cell a=8.884 b=8.884 c=8.884 alpha=17.37 beta=17.37 gamma=17.37
Sites, in units of the cell vectors:
Co 0.000 0.000 0.000
Ni 0.743 0.743 0.743
Mo 0.254 0.254 0.254
Mo 0.491 0.491 0.491


Record 8
# CoNiMo

A relaxed CoNiMo crystal (PBE-GGA, Alexandria).

Values from the calculation:
Offset from the most stable computed form in meV/atom: 246

Unit cell a=4.061 b=4.061 c=6.143 alpha=109.03 beta=109.03 gamma=59.69
Sites, in units of the cell vectors:
Co 0.084 0.084 0.248
Co 0.916 0.916 0.752
Ni 0.366 0.366 0.095
Ni 0.634 0.634 0.905
Mo 0.220 0.220 0.663
Mo 0.780 0.780 0.337


Record 9
# CoNiMo2

A relaxed CoNiMo2 crystal (PBE-GGA, Alexandria).

Values from the calculation:
Offset from the most stable computed form in meV/atom: 22

Unit cell a=3.752 b=3.752 c=3.746 alpha=90.00 beta=90.00 gamma=90.00
Sites, in units of the cell vectors:
Co 0.000 0.000 0.000
Ni 0.500 0.500 0.000
Mo 0.000 0.500 0.500
Mo 0.500 0.000 0.500


| no. | E (eV/atom) | energy of formation from the pure elements (kJ per mole of atoms) |
| --- | --- | --- |
| 1 | -8.415 | 21.5 |
| 2 | -7.851 | 5.3 |
| 3 | -6.641 | 10.0 |
| 4 | -7.244 | 63.8 |
| 5 | -8.126 | 49.4 |
| 6 | -6.321 | 122.1 |
| 7 | -8.389 | 24.0 |
| 8 | -7.680 | 21.8 |
| 9 | -8.619 | 1.8 |